Here is an optimized crystal structure of AcLa6Y from the Alexandria database. Energies are from GGA-PBE.

Cell lengths 5.2926, 5.2926, 10.5808 Å; angles 90.00, 90.00, 90.00 degrees
Positions (direct):
Ac  0.0000  0.0000  0.0000
La  0.5000  0.5000  0.0000
La  0.5000  0.5000  0.5000
La  0.5000  0.0000  0.2558
La  0.5000  0.0000  0.7442
La  0.0000  0.5000  0.2558
La  0.0000  0.5000  0.7442
Y  0.0000  0.0000  0.5000

Calculated values
- M_tot (μB per formula unit) = 0.00
- SG = P4/mmm, No. 123
- calculated formation energy (eV/atom) = 0.02